A geometry-optimized Cs2NaCdBr4 structure, computed with PBE-GGA.

## Properties
density: 3516 kg/m³
energy relative to the elements, uncorrected: -1265 meV/atom
crystal system: orthorhombic

Cell: 15.290 13.469 8.597 Å, 84.67 61.29 34.04°
Positions (direct):
Cs1 0.054 0.054 0.696
Cs2 0.304 0.304 0.946
Cs3 0.696 0.696 0.054
Cs4 0.946 0.946 0.304
Na1 0.125 0.125 0.125
Na2 0.875 0.875 0.875
Cd1 0.375 0.375 0.375
Cd2 0.625 0.625 0.625
Br1 0.071 0.293 0.412
Br2 0.276 0.588 0.707
Br3 0.293 0.071 0.724
Br4 0.412 0.724 0.071
Br5 0.588 0.276 0.929
Br6 0.707 0.929 0.276
Br7 0.724 0.412 0.293
Br8 0.929 0.707 0.588